Compound: NaLiTa
Source: the Open Quantum Materials Database
Functional: PBE
Structure: optimized geometry

ρ = 5.913 g/cm³
polymorph energy (0 for the lowest one) = 0.0000 eV per atom
raw total energy = -4.167 eV/atom

Cell: 8.870 8.870 2.607 Å, 90.00 90.00 120.00°
Fractional coordinates of all 9 atoms:
Na 0.000 0.321 0.000
Na 0.321 0.000 0.000
Na 0.679 0.679 0.000
Li 0.000 0.000 0.000
Li 0.333 0.667 0.000
Li 0.667 0.333 0.000
Ta 0.000 0.653 0.500
Ta 0.347 0.347 0.500
Ta 0.653 0.000 0.500

Compound: NaLiTa
Source: the Open Quantum Materials Database
Functional: PBE
Structure: optimized geometry

ρ = 5.479 g/cm³
polymorph energy (0 for the lowest one) = 0.9187 eV per atom
raw total energy = -3.248 eV/atom

Cell: 4.488 4.488 4.488 Å, 60.00 60.00 60.00°
Fractional coordinates of all 3 atoms:
Na 0.000 0.000 0.000
Li 0.250 0.250 0.250
Ta 0.500 0.500 0.500

Compound: NaLiTb
Source: the Open Quantum Materials Database
Functional: PBE
Structure: optimized geometry

ρ = 3.396 g/cm³
polymorph energy (0 for the lowest one) = 0.0000 eV per atom
raw total energy = -2.013 eV/atom

Cell: 5.074 5.074 5.074 Å, 60.00 60.00 60.00°
Fractional coordinates of all 3 atoms:
Na 0.000 0.000 0.000
Li 0.250 0.250 0.250
Tb 0.500 0.500 0.500

Compound: Na4Li3Tb2
Source: the Open Quantum Materials Database
Functional: PBE
Structure: optimized geometry

ρ = 2.874 g/cm³
raw total energy = -1.987 eV/atom

Cell: 9.475 9.475 3.200 Å, 90.00 90.00 120.00°
Fractional coordinates of all 9 atoms:
Na 0.000 0.000 0.000
Na 0.335 0.016 0.000
Na 0.680 0.665 0.000
Na 0.984 0.320 0.000
Li 0.020 0.673 0.500
Li 0.327 0.347 0.500
Li 0.653 0.980 0.500
Tb 0.333 0.667 0.000
Tb 0.667 0.333 0.500

Compound: NaLiTc
Source: the Open Quantum Materials Database
Functional: PBE
Structure: optimized geometry

ρ = 2.925 g/cm³
raw total energy = -3.019 eV/atom

Cell: 4.683 4.683 4.683 Å, 60.00 60.00 60.00°
Fractional coordinates of all 3 atoms:
Na 0.000 0.000 0.000
Li 0.500 0.500 0.500
Tc 0.250 0.250 0.250

Compound: NaLiTm
Source: the Open Quantum Materials Database
Functional: PBE
Structure: optimized geometry

ρ = 3.227 g/cm³
polymorph energy (0 for the lowest one) = 0.2425 eV per atom
raw total energy = -1.691 eV/atom

Cell: 5.250 5.250 5.250 Å, 60.00 60.00 60.00°
Fractional coordinates of all 3 atoms:
Na 0.000 0.000 0.000
Li 0.500 0.500 0.500
Tm 0.750 0.750 0.750

- Which value of raw total energy does entry 5 give?
  -3.019 eV/atom